# 1
The following is a DFT calculation (GGA-PBE) of a relaxed CaCo2Sb crystal.

a b c (Å): 6.595 6.595 6.595
angles (deg): 90.00 90.00 90.00
Atoms (fractional coordinates):
Ca 0.000 0.000 0.000
Ca 0.000 0.500 0.500
Ca 0.500 0.000 0.500
Ca 0.500 0.500 0.000
Co 0.000 0.000 0.500
Co 0.000 0.500 0.000
Co 0.250 0.250 0.750
Co 0.250 0.750 0.250
Co 0.500 0.000 0.000
Co 0.500 0.500 0.500
Co 0.750 0.250 0.250
Co 0.750 0.750 0.750
Sb 0.250 0.250 0.250
Sb 0.250 0.750 0.750
Sb 0.750 0.250 0.750
Sb 0.750 0.750 0.250

Calculated values
* mass density: 6.48 g cm⁻³
* E_form (uncorrected): 0.282 eV/atom
* calculated volume: 17.93 Å³ per atom

# 2
The following is a DFT calculation (GGA-PBE) of a relaxed Ca2CoSb crystal.

a b c (Å): 10.367 10.367 4.758
angles (deg): 90.00 90.00 90.00
Atoms (fractional coordinates):
Ca 0.076 0.250 0.125
Ca 0.250 0.576 0.375
Ca 0.250 0.924 0.875
Ca 0.424 0.250 0.625
Ca 0.576 0.750 0.625
Ca 0.750 0.076 0.875
Ca 0.750 0.424 0.375
Ca 0.924 0.750 0.125
Co 0.000 0.000 0.000
Co 0.000 0.500 0.250
Co 0.500 0.000 0.750
Co 0.500 0.500 0.500
Sb 0.000 0.000 0.500
Sb 0.000 0.500 0.750
Sb 0.500 0.000 0.250
Sb 0.500 0.500 0.000

Calculated values
* mass density: 3.39 g cm⁻³
* E_form (uncorrected): -0.173 eV/atom
* calculated volume: 31.96 Å³ per atom

# 3
The following is a DFT calculation (GGA-PBE) of a relaxed CaCo2Sb crystal.

a b c (Å): 4.304 4.304 15.013
angles (deg): 90.00 90.00 120.00
Atoms (fractional coordinates):
Ca 0.000 0.000 0.000
Ca 0.333 0.667 0.667
Ca 0.667 0.333 0.333
Co 0.000 0.000 0.187
Co 0.000 0.000 0.813
Co 0.333 0.667 0.479
Co 0.333 0.667 0.854
Co 0.667 0.333 0.146
Co 0.667 0.333 0.521
Sb 0.000 0.000 0.500
Sb 0.333 0.667 0.167
Sb 0.667 0.333 0.833

Calculated values
* mass density: 5.79 g cm⁻³
* E_form (uncorrected): -0.130 eV/atom
* calculated volume: 20.07 Å³ per atom

# 4
The following is a DFT calculation (GGA-PBE) of a relaxed CaCoSb2 crystal.

a b c (Å): 9.960 4.063 5.474
angles (deg): 90.00 114.77 90.00
Atoms (fractional coordinates):
Ca 0.000 0.000 0.000
Ca 0.500 0.500 0.000
Co 0.229 0.000 0.552
Co 0.729 0.500 0.552
Sb 0.132 0.500 0.704
Sb 0.290 0.500 0.331
Sb 0.632 0.000 0.704
Sb 0.790 0.000 0.331

Calculated values
* mass density: 5.66 g cm⁻³
* E_form (uncorrected): -0.217 eV/atom
* calculated volume: 25.14 Å³ per atom

# 5
The following is a DFT calculation (GGA-PBE) of a relaxed CaCoSb2 crystal.

a b c (Å): 7.192 7.192 7.192
angles (deg): 90.00 90.00 90.00
Atoms (fractional coordinates):
Ca 0.000 0.000 0.000
Ca 0.000 0.500 0.500
Ca 0.500 0.000 0.500
Ca 0.500 0.500 0.000
Co 0.250 0.250 0.250
Co 0.250 0.750 0.750
Co 0.750 0.250 0.750
Co 0.750 0.750 0.250
Sb 0.000 0.000 0.500
Sb 0.000 0.500 0.000
Sb 0.250 0.250 0.750
Sb 0.250 0.750 0.250
Sb 0.500 0.000 0.000
Sb 0.500 0.500 0.500
Sb 0.750 0.250 0.250
Sb 0.750 0.750 0.750

Calculated values
* mass density: 6.12 g cm⁻³
* E_form (uncorrected): 0.183 eV/atom
* calculated volume: 23.25 Å³ per atom

# 6
The following is a DFT calculation (GGA-PBE) of a relaxed CaCo4Sb crystal.

a b c (Å): 5.032 5.032 5.032
angles (deg): 60.00 60.00 60.00
Atoms (fractional coordinates):
Ca 0.000 0.000 0.000
Co 0.125 0.625 0.625
Co 0.625 0.125 0.625
Co 0.625 0.625 0.125
Co 0.625 0.625 0.625
Sb 0.250 0.250 0.250

Calculated values
* mass density: 7.33 g cm⁻³
* E_form (uncorrected): 0.063 eV/atom
* calculated volume: 15.01 Å³ per atom

# 7
The following is a DFT calculation (GGA-PBE) of a relaxed CaCoSb2 crystal.

a b c (Å): 3.297 3.852 14.592
angles (deg): 90.00 90.00 90.00
Atoms (fractional coordinates):
Ca 0.000 0.000 0.000
Ca 0.500 0.500 0.500
Co 0.000 0.500 0.730
Co 0.500 0.000 0.230
Sb 0.000 0.000 0.363
Sb 0.000 0.500 0.169
Sb 0.500 0.000 0.669
Sb 0.500 0.500 0.863

Calculated values
* mass density: 6.14 g cm⁻³
* E_form (uncorrected): -0.225 eV/atom
* calculated volume: 23.16 Å³ per atom

# 8
The following is a DFT calculation (GGA-PBE) of a relaxed CaCoSb2 crystal.

a b c (Å): 3.365 3.365 7.721
angles (deg): 90.00 90.00 90.00
Atoms (fractional coordinates):
Ca 0.000 0.000 0.000
Co 0.000 0.000 0.500
Sb 0.500 0.500 0.301
Sb 0.500 0.500 0.699

Calculated values
* mass density: 6.51 g cm⁻³
* E_form (uncorrected): -0.100 eV/atom
* calculated volume: 21.85 Å³ per atom

# 9
The following is a DFT calculation (GGA-PBE) of a relaxed Ca3CoSb crystal.

a b c (Å): 5.207 5.207 5.207
angles (deg): 90.00 90.00 90.00
Atoms (fractional coordinates):
Ca 0.000 0.000 0.500
Ca 0.000 0.500 0.000
Ca 0.500 0.000 0.000
Co 0.000 0.000 0.000
Sb 0.500 0.500 0.500

Calculated values
* mass density: 3.54 g cm⁻³
* E_form (uncorrected): -0.165 eV/atom
* calculated volume: 28.24 Å³ per atom
* excess energy over the best structure of this formula in the dataset: 0.000 eV/atom

# 10
The following is a DFT calculation (GGA-PBE) of a relaxed Ca2CoSb crystal.

a b c (Å): 4.312 4.452 11.063
angles (deg): 90.00 90.00 90.00
Atoms (fractional coordinates):
Ca 0.000 0.000 0.000
Ca 0.000 0.500 0.500
Ca 0.500 0.000 0.287
Ca 0.500 0.500 0.787
Co 0.000 0.000 0.705
Co 0.000 0.500 0.205
Sb 0.500 0.000 0.583
Sb 0.500 0.500 0.083

Calculated values
* mass density: 4.08 g cm⁻³
* E_form (uncorrected): -0.316 eV/atom
* calculated volume: 26.54 Å³ per atom

# 11
The following is a DFT calculation (GGA-PBE) of a relaxed CaCo2Sb2 crystal.

a b c (Å): 4.641 4.641 9.297
angles (deg): 90.00 90.00 90.00
Atoms (fractional coordinates):
Ca 0.000 0.000 0.000
Ca 0.500 0.500 0.500
Co 0.000 0.000 0.377
Co 0.000 0.000 0.623
Co 0.500 0.500 0.123
Co 0.500 0.500 0.877
Sb 0.000 0.500 0.250
Sb 0.000 0.500 0.750
Sb 0.500 0.000 0.250
Sb 0.500 0.000 0.750

Calculated values
* mass density: 6.66 g cm⁻³
* E_form (uncorrected): -0.172 eV/atom
* calculated volume: 20.02 Å³ per atom

# 12
The following is a DFT calculation (GGA-PBE) of a relaxed CaCoSb2 crystal.

a b c (Å): 4.432 4.926 4.911
angles (deg): 90.00 90.00 90.00
Atoms (fractional coordinates):
Ca 0.000 0.000 0.000
Co 0.500 0.500 0.680
Sb 0.500 0.000 0.524
Sb 0.500 0.500 0.168

Calculated values
* mass density: 5.31 g cm⁻³
* E_form (uncorrected): -0.119 eV/atom
* calculated volume: 26.80 Å³ per atom